1.
This record from the Alexandria database describes Pr2Si2HRu2 after structural relaxation. The functional is GGA-PBE.

For the density of states at the Fermi level, the calculation gives 3.3 states/eV/f.u. The calculation puts the total energy at -6.691 eV per atom.

The structure belongs to space group C2/m (No. 12); the cell edges are 10.9142, 4.1433 and 7.2016 Å and the angles 90.00°, 129.59° and 90.00°. The asymmetric unit holds Pr at (0.0639, 0.0000, 0.3062), Si at (0.1668, 0.5000, 0.7294), H at (0.0000, 0.5000, 0.0000) and Ru at (0.2011, 0.5000, 0.0992).

***

2.
This record from the Alexandria database describes Pr2ZnH6Ru after structural relaxation. The functional is GGA-PBE.

For the density of states at the Fermi level, the calculation gives 3.0 states/eV/f.u. The calculation puts the total energy at -4.416 eV per atom.

The structure belongs to space group R-3m (No. 166, hexagonal axes); the cell edges are 4.7047, 4.7047 and 40.9586 Å and the angles 90.00°, 90.00° and 120.00°. The asymmetric unit holds Pr at (0.0000, 0.0000, 0.1290), Pr at (0.0000, 0.0000, 0.2954), Zn at (0.0000, 0.0000, 0.4182), H at (0.0135, 0.5068, 0.3098), H at (0.0181, 0.5091, 0.8564), Ru at (0.0000, 0.0000, 0.0000) and Ru at (0.0000, 0.0000, 0.5000).

***

3.
This record from the Alexandria database describes Pr2H4S after structural relaxation. The functional is GGA-PBE.

For the density of states at the Fermi level, the calculation gives 0.0 states/eV/f.u. The calculation puts the total energy at -4.832 eV per atom.

The structure belongs to space group P4_2/mnm (No. 136); the cell edges are 7.1417, 7.1417 and 3.8808 Å and the angles 90.00°, 90.00° and 90.00°. The asymmetric unit holds Pr at (0.2172, 0.2172, 0.0000), H at (0.0938, 0.6689, 0.0000) and S at (0.0000, 0.0000, 0.5000).

***

4.
This record from the Alexandria database describes Pr2HS after structural relaxation. The functional is GGA-PBE.

For the density of states at the Fermi level, the calculation gives 3.2 states/eV/f.u. The calculation puts the total energy at -5.266 eV per atom.

The structure belongs to space group R3m (No. 160, hexagonal axes); the cell edges are 3.8647, 3.8647 and 20.4755 Å and the angles 90.00°, 90.00° and 120.00°. The asymmetric unit holds Pr at (0.0000, 0.0000, 0.0000), Pr at (0.0000, 0.0000, 0.1666), H at (0.0000, 0.0000, 0.4073) and S at (0.0000, 0.0000, 0.5833).

***

5.
This record from the Alexandria database describes Pr2HS after structural relaxation. The functional is GGA-PBE.

For the density of states at the Fermi level, the calculation gives 3.1 states/eV/f.u. The calculation puts the total energy at -5.388 eV per atom.

The structure belongs to space group R-3m (No. 166, hexagonal axes); the cell edges are 3.9680, 3.9680 and 19.1042 Å and the angles 90.00°, 90.00° and 120.00°. The asymmetric unit holds Pr at (0.0000, 0.0000, 0.2474), H at (0.0000, 0.0000, 0.5000) and S at (0.0000, 0.0000, 0.0000).

***

6.
This record from the Alexandria database describes Pr4HS5 after structural relaxation. The functional is GGA-PBE.

For the density of states at the Fermi level, the calculation gives 1.5 states/eV/f.u. The calculation puts the total energy at -5.980 eV per atom.

The structure belongs to space group C2/m (No. 12); the cell edges are 18.9061, 4.0833 and 7.5841 Å and the angles 90.00°, 113.58° and 90.00°. The asymmetric unit holds Pr at (0.0000, 0.0000, 0.2470), Pr at (0.2206, 0.5000, 0.7208), H at (0.0000, 0.5000, 0.5000), S at (0.0000, 0.5000, 0.0000), S at (0.1633, 0.0000, 0.4322) and S at (0.1633, 0.0000, 0.8949).

***

- What is the total energy in the fourth record?
  -5.266 eV per atom